A relaxed MgPRuCl2 crystal. Source: the Alexandria database, functional GGA-PBE.

Structure (CIF):
```
data_MgPRuCl2
_chemical_formula_sum 'Mg1 P1 Ru1 Cl2'
_cell_length_a 4.515
_cell_length_b 4.515
_cell_length_c 5.728
_cell_angle_alpha 90.00
_cell_angle_beta 90.00
_cell_angle_gamma 90.00
_space_group_name_H-M_alt 'P 4/m m m'
_space_group_IT_number 123
_space_group_name_Hall '-P 4 2'
loop_
_atom_site_label
_atom_site_fract_x
_atom_site_fract_y
_atom_site_fract_z
Mg1 0.000 0.000 0.000
P1 0.000 0.000 0.500
Ru1 0.500 0.500 0.500
Cl1 0.000 0.500 0.000
```

## Properties
Formation energy without anion corrections: 0.418 eV per atom
Fermi-level density of states: 4.7 states/eV/f.u.



A relaxed MgPS2Cl crystal. Source: the Alexandria database, functional GGA-PBE.

Structure (CIF):
```
data_MgPS2Cl
_chemical_formula_sum 'Mg1 P1 S2 Cl1'
_cell_length_a 4.944
_cell_length_b 4.944
_cell_length_c 4.370
_cell_angle_alpha 90.00
_cell_angle_beta 90.00
_cell_angle_gamma 90.00
_space_group_name_H-M_alt 'P 4/m m m'
_space_group_IT_number 123
_space_group_name_Hall '-P 4 2'
loop_
_atom_site_label
_atom_site_fract_x
_atom_site_fract_y
_atom_site_fract_z
Mg1 0.000 0.000 0.000
P1 0.500 0.500 0.000
S1 0.000 0.500 0.500
Cl1 0.500 0.500 0.500
```

## Properties
Formation energy without anion corrections: 0.826 eV per atom
Fermi-level density of states: 5.9 states/eV/f.u.



no.,volume (Å³/cell)
1,116.8
2,106.8